No. 1
CdInB | GGA-PBE | relaxed

Unit cell a=5.7239 b=3.2403 c=11.9179 alpha=90.00 beta=90.00 gamma=90.00
Last column: nearest neighbours and their distance in Å.
Sites, in units of the cell vectors:
B: 0.0055 0.2500 0.6516  4 In 2.55-2.56, 3 Cd 2.57-2.60
B: 0.4945 0.7500 0.1516  4 In 2.55-2.56, 3 Cd 2.57-2.60
B: 0.9945 0.7500 0.3484  4 In 2.55-2.56, 3 Cd 2.57-2.60
B: 0.5055 0.2500 0.8484  4 In 2.55-2.56, 3 Cd 2.57-2.60
Cd: 0.7517 0.2500 0.4734  3 B 2.57-2.60
Cd: 0.7483 0.7500 0.9734  3 B 2.57-2.60
Cd: 0.2483 0.7500 0.5266  3 B 2.57-2.60
Cd: 0.2517 0.2500 0.0266  3 B 2.57-2.60
In: 0.3208 0.2500 0.2939  4 B 2.55-2.56
In: 0.1792 0.7500 0.7939  4 B 2.55-2.56
In: 0.6792 0.7500 0.7061  4 B 2.55-2.56
In: 0.8208 0.2500 0.2061  4 B 2.55-2.56

Output
SG: Pnma (62)
D(E_F): 5.2 states/eV/cell
Total magnetization: 0.00 μB/cell
Calculated volume: 18.420 Å³/atom
ΔE_f: 2.5 eV/f.u.
Density: 7.15 Mg/m³

=====

No. 2
Ag2Hg2TeO6 | GGA-PBE | relaxed

Unit cell a=6.1523 b=6.1523 c=5.9539 alpha=101.93 beta=101.93 gamma=115.29
Last column: nearest neighbours and their distance in Å.
Sites, in units of the cell vectors:
Ag: 0.3329 0.6671 0.5000  4 O 2.32-2.43
Ag: 0.6671 0.3329 0.5000  4 O 2.32-2.43
Hg: 0.8466 0.1534 0.0000  2 O 2.08
Hg: 0.1534 0.8466 0.0000  2 O 2.08
Te: 0.0000 0.0000 0.5000  6 O 1.92-2.03
O: 0.7535 0.7535 0.5979  1 Te 1.92
O: 0.0022 0.2854 0.7450  1 Te 2.03, 1 Hg 2.08
O: 0.2465 0.2465 0.4021  1 Te 1.92
O: 0.2854 0.0022 0.7450  1 Te 2.03, 1 Hg 2.08
O: 0.9978 0.7146 0.2550  1 Te 2.03, 1 Hg 2.08
O: 0.7146 0.9978 0.2550  1 Te 2.03, 1 Hg 2.08

Output
SG: C2/m (12)
D(E_F): 2.5 states/eV/cell
Total magnetization: 0.00 μB/cell
Calculated volume: 17.087 Å³/atom
Formation energy from raw total energies: -0.46 eV per atom
Density: 7.43 Mg/m³

=====

No. 3
UGaNi | GGA-PBE | relaxed

Unit cell a=6.5788 b=6.5788 c=4.0993 alpha=90.00 beta=90.00 gamma=120.00
Last column: nearest neighbours and their distance in Å.
Sites, in units of the cell vectors:
U: 0.5716 0.0000 0.5000  5 Ni 2.82-2.83, 2 Ga 3.00
U: 0.4284 0.4284 0.5000  5 Ni 2.82-2.83, 2 Ga 3.00
U: 0.0000 0.5716 0.5000  5 Ni 2.82-2.83, 2 Ga 3.00
Ga: 0.2382 0.0000 0.0000  4 Ni 2.56-2.58, 2 Ga 2.71
Ga: 0.7618 0.7618 0.0000  4 Ni 2.56-2.58, 2 Ga 2.71
Ga: 0.0000 0.2382 0.0000  4 Ni 2.56-2.58, 2 Ga 2.71
Ni: 0.3333 0.6667 0.0000  3 Ga 2.56, 6 U 2.83
Ni: 0.6667 0.3333 0.0000  3 Ga 2.56, 6 U 2.83
Ni: 0.0000 0.0000 0.5000  6 Ga 2.58, 3 U 2.82

Output
SG: P-62m (189)
D(E_F): 15.0 states/eV/cell
Total magnetization: 5.59 μB/cell
Calculated volume: 17.072 Å³/atom
ΔE_f: -0.9 eV/f.u.
Density: 11.88 Mg/m³

=====

No. 4
Cs2BaZnCl6 | GGA-PBE | relaxed

Unit cell a=7.8020 b=7.8020 c=7.8037 alpha=60.01 beta=60.01 gamma=90.00
Last column: nearest neighbours and their distance in Å.
Sites, in units of the cell vectors:
Cs: 0.7500 0.2500 0.5000  12 Cl 3.91
Cs: 0.2500 0.7500 0.5000  12 Cl 3.91
Zn: 0.5000 0.5000 0.0000  6 Cl 2.50
Ba: 0.0000 0.0000 0.0000  6 Cl 3.02
Cl: 0.2733 0.2733 0.4535  1 Zn 2.50
Cl: 0.7267 0.7267 0.5465  1 Zn 2.50
Cl: 0.2734 0.2734 0.0000  1 Zn 2.50
Cl: 0.7266 0.7266 0.0000  1 Zn 2.50
Cl: 0.7266 0.2734 0.0000  1 Zn 2.50
Cl: 0.2734 0.7266 0.0000  1 Zn 2.50

Output
SG: Fm-3m (225)
D(E_F): 0.0 states/eV/cell
Total magnetization: 0.00 μB/cell
Calculated volume: 33.597 Å³/atom
Formation energy from raw total energies: -1.86 eV per atom
Density: 3.37 Mg/m³

=====

No. 5
La4CoPb | GGA-PBE | relaxed

Unit cell a=6.4156 b=6.4156 c=6.4156 alpha=60.00 beta=60.00 gamma=60.00
Last column: nearest neighbours and their distance in Å.
Sites, in units of the cell vectors:
La: 0.8739 0.3754 0.3754  6 La 3.20-3.22
La: 0.3754 0.3754 0.8739  6 La 3.20-3.22
La: 0.3754 0.8739 0.3754  6 La 3.20-3.22
La: 0.3754 0.3754 0.3754  6 La 3.20-3.22
Co: 0.0000 0.0000 0.0000  12 La 3.76, 4 Pb 3.93
Pb: 0.7500 0.7500 0.7500  12 La 3.76, 4 Co 3.93

Output
SG: F-43m (216)
D(E_F): 10.8 states/eV/cell
Total magnetization: 1.69 μB/cell
Excess energy over the best structure of this formula in the dataset: 0.8080 eV/atom
Calculated volume: 31.120 Å³/atom
ΔE_f: 3.0 eV/f.u.
Density: 7.31 Mg/m³

=====

No. 6
BAuBr2 | GGA-PBE | relaxed

Unit cell a=5.8607 b=5.8607 c=7.8486 alpha=68.08 beta=68.08 gamma=90.00
Last column: nearest neighbours and their distance in Å.
Sites, in units of the cell vectors:
B: 0.5000 0.5000 0.0000  4 Br 2.61
B: 0.2500 0.7500 0.5000  4 Br 2.61
Au: 0.0000 0.0000 0.0000  4 Br 2.71
Au: 0.7500 0.2500 0.5000  4 Br 2.71
Br: 0.6102 0.1250 0.2500  2 B 2.61, 2 Au 2.71
Br: 0.1398 0.6250 0.2500  2 B 2.61, 2 Au 2.71
Br: 0.3750 0.3898 0.7500  2 B 2.61, 2 Au 2.71
Br: 0.8750 0.8602 0.7500  2 B 2.61, 2 Au 2.71

Output
SG: I-42d (122)
D(E_F): 0.0 states/eV/cell
Total magnetization: 0.00 μB/cell
Excess energy over the best structure of this formula in the dataset: 0.0956 eV/atom
Calculated volume: 28.617 Å³/atom
Formation energy from raw total energies: 0.90 eV per atom
Density: 5.33 Mg/m³

=====

No. 7
CoP2PbS8 | GGA-PBE | relaxed

Unit cell a=5.7496 b=5.7496 c=8.3898 alpha=90.00 beta=90.00 gamma=120.00
Last column: nearest neighbours and their distance in Å.
Sites, in units of the cell vectors:
Co: 0.0000 0.0000 0.5000  6 S 2.27
P: 0.6667 0.3333 0.2735  4 S 2.03-2.10
P: 0.3333 0.6667 0.7265  4 S 2.03-2.10
Pb: 0.0000 0.0000 0.0000  12 S 3.31-3.33
S: 0.3333 0.6667 0.9684  1 P 2.03
S: 0.3046 0.3164 0.3329  1 P 2.10, 1 Co 2.27
S: 0.6836 0.9882 0.3329  1 P 2.10, 1 Co 2.27
S: 0.6667 0.3333 0.0316  1 P 2.03
S: 0.3164 0.0118 0.6671  1 P 2.10, 1 Co 2.27
S: 0.6954 0.6836 0.6671  1 P 2.10, 1 Co 2.27
S: 0.9882 0.3046 0.6671  1 P 2.10, 1 Co 2.27
S: 0.0118 0.6954 0.3329  1 P 2.10, 1 Co 2.27

Output
SG: P-3 (147)
D(E_F): 11.9 states/eV/cell
Total magnetization: 0.03 μB/cell
Calculated volume: 20.016 Å³/atom
Formation energy from raw total energies: -0.16 eV per atom
Density: 4.04 Mg/m³

=====

No. 8
BeNb2PtSe | GGA-PBE | relaxed

Unit cell a=4.7763 b=3.9808 c=4.7763 alpha=90.00 beta=90.00 gamma=90.00
Last column: nearest neighbours and their distance in Å.
Sites, in units of the cell vectors:
Be: 0.0000 0.5000 0.0000  2 Se 1.99
Nb: 0.0000 0.0000 0.5000  2 Se 2.39
Nb: 0.5000 0.0000 0.0000  2 Se 2.39
Se: 0.0000 0.0000 0.0000  2 Be 1.99
Pt: 0.5000 0.5000 0.5000  8 Nb 3.11, 4 Be 3.38

Output
SG: P4/mmm (123)
D(E_F): 4.0 states/eV/cell
Total magnetization: 0.00 μB/cell
Calculated volume: 18.162 Å³/atom
Formation energy from raw total energies: 0.60 eV per atom
Density: 8.57 Mg/m³

=====

> D(E_F) of number 2 (Ag2Hg2TeO6)?

2.5 states/eV/cell

=====

> Among the records above, which one has the highest D(E_F)?

UGaNi